Computed, not measured: crystalline Al3CrO at its relaxed geometry at the PBE+U level of DFT.

total moment: 0.00 μB/atom
electronic total energy: -4.730 eV per atom
SG: Pm-3m
ρ: 3.9 g cm⁻³

a b c (Å): 4.0036 4.0036 4.0036
angles (deg): 90.00 90.00 90.00
Last column: nearest neighbours and their distance in Å.
Fractional positions:
1 Al 0.0000 0.0000 0.5000  2 O 2.00
2 Al 0.0000 0.5000 0.0000  2 O 2.00
3 Al 0.5000 0.0000 0.0000  2 O 2.00
4 Cr 0.5000 0.5000 0.5000  12 Al 2.83
5 O 0.0000 0.0000 0.0000  6 Al 2.00